(1)
First-principles (PBEsol) data for a geometry-optimized Sr3Zn structure, as listed in the Alexandria database.

Geometry as CIF:
```
data_Sr3Zn
_symmetry_space_group_name_H-M 'P 4/m m m'
_symmetry_Int_Tables_number 123
_symmetry_space_group_name_Hall '-P 4 2'
_cell_length_a 3.934
_cell_length_b 3.934
_cell_length_c 10.152
_cell_angle_alpha 90.00
_cell_angle_beta 90.00
_cell_angle_gamma 90.00
loop_
_atom_site_label
_atom_site_type_symbol
_atom_site_fract_x
_atom_site_fract_y
_atom_site_fract_z
Sr1 Sr 0.000 0.000 0.000
Sr2 Sr 0.500 0.500 0.319
Zn1 Zn 0.000 0.000 0.500
```

Output
Formation energy from the elements (eV/f.u.): -0.30

---

(2)
First-principles (PBEsol) data for a geometry-optimized SrZn11 structure, as listed in the Alexandria database.

Geometry as CIF:
```
data_SrZn11
_symmetry_space_group_name_H-M 'I 41/a m d'
_symmetry_Int_Tables_number 141
_cell_length_a 10.531
_cell_length_b 10.531
_cell_length_c 6.749
_cell_angle_alpha 90.00
_cell_angle_beta 90.00
_cell_angle_gamma 90.00
loop_
_symmetry_equiv_pos_as_xyz
'x,y,z'
'-x,-y,-z'
'-y+1/4,x+3/4,z+1/4'
'y+1/4,-x+3/4,-z+1/4'
'-x+1/2,-y,z+1/2'
'x+1/2,y,-z+1/2'
'y+1/4,-x+1/4,z+3/4'
'-y+1/4,x+1/4,-z+3/4'
'x,-y,-z'
'-x,y,z'
'-y+1/4,-x+1/4,-z+3/4'
'y+1/4,x+1/4,z+3/4'
'-x+1/2,y,-z+1/2'
'x+1/2,-y,z+1/2'
'y+1/4,x+3/4,-z+1/4'
'-y+1/4,-x+3/4,z+1/4'
'x+1/2,y+1/2,z+1/2'
'-x+1/2,-y+1/2,-z+1/2'
'-y+3/4,x+1/4,z+3/4'
'y+3/4,-x+1/4,-z+3/4'
'-x,-y+1/2,z'
'x,y+1/2,-z'
'y+3/4,-x+3/4,z+1/4'
'-y+3/4,x+3/4,-z+1/4'
'x+1/2,-y+1/2,-z+1/2'
'-x+1/2,y+1/2,z+1/2'
'-y+3/4,-x+3/4,-z+1/4'
'y+3/4,x+3/4,z+1/4'
'-x,y+1/2,-z'
'x,-y+1/2,z'
'y+3/4,x+1/4,-z+3/4'
'-y+3/4,-x+1/4,z+3/4'
loop_
_atom_site_label
_atom_site_type_symbol
_atom_site_fract_x
_atom_site_fract_y
_atom_site_fract_z
Sr1 Sr 0.000 0.250 0.375
Zn1 Zn 0.000 0.000 0.000
Zn2 Zn 0.000 0.250 0.875
Zn3 Zn 0.122 0.043 0.680
```

Output
Formation energy from the elements (eV/f.u.): -2.28

---

(3)
First-principles (PBEsol) data for a geometry-optimized SrZn structure, as listed in the Alexandria database.

Geometry as CIF:
```
data_SrZn
_symmetry_space_group_name_H-M 'R -3 m'
_symmetry_Int_Tables_number 166
_symmetry_space_group_name_Hall '-R 3 2"'
_cell_length_a 4.4454
_cell_length_b 4.4454
_cell_length_c 23.0034
_cell_angle_alpha 90.00
_cell_angle_beta 90.00
_cell_angle_gamma 120.00
loop_
_atom_site_label
_atom_site_type_symbol
_atom_site_fract_x
_atom_site_fract_y
_atom_site_fract_z
Sr1 Sr 0.0000 0.0000 0.0877
Zn1 Zn 0.0000 0.0000 0.3334
```

Output
Formation energy from the elements (eV/f.u.): -0.35

---

(4)
First-principles (PBEsol) data for a geometry-optimized SrZn2 structure, as listed in the Alexandria database.

Geometry as CIF:
```
data_SrZn2
_symmetry_space_group_name_H-M 'C m c m'
_symmetry_Int_Tables_number 63
_symmetry_space_group_name_Hall '-C 2c 2'
_cell_length_a 4.139
_cell_length_b 16.581
_cell_length_c 4.394
_cell_angle_alpha 90.00
_cell_angle_beta 90.00
_cell_angle_gamma 90.00
loop_
_atom_site_label
_atom_site_type_symbol
_atom_site_fract_x
_atom_site_fract_y
_atom_site_fract_z
Sr1 Sr 0.000 0.098 0.250
Zn1 Zn 0.000 0.252 0.750
Zn2 Zn 0.000 0.337 0.250
```

Output
Formation energy from the elements (eV/f.u.): -0.37

---

(5)
First-principles (PBEsol) data for a geometry-optimized Sr3Zn structure, as listed in the Alexandria database.

Geometry as CIF:
```
data_Sr3Zn
_symmetry_space_group_name_H-M 'I m m m'
_symmetry_Int_Tables_number 71
_symmetry_space_group_name_Hall '-I 2 2'
_cell_length_a 4.035
_cell_length_b 6.096
_cell_length_c 12.924
_cell_angle_alpha 90.00
_cell_angle_beta 90.00
_cell_angle_gamma 90.00
loop_
_atom_site_label
_atom_site_type_symbol
_atom_site_fract_x
_atom_site_fract_y
_atom_site_fract_z
Sr1 Sr 0.000 0.000 0.000
Sr2 Sr 0.000 0.500 0.193
Zn1 Zn 0.000 0.000 0.500
```

Output
Formation energy from the elements (eV/f.u.): -0.04

---

(6)
First-principles (PBEsol) data for a geometry-optimized SrZn5 structure, as listed in the Alexandria database.

Geometry as CIF:
```
data_SrZn5
_symmetry_space_group_name_H-M 'P 6/m m m'
_symmetry_Int_Tables_number 191
_symmetry_space_group_name_Hall '-P 6 2'
_cell_length_a 5.4205
_cell_length_b 5.4205
_cell_length_c 4.1865
_cell_angle_alpha 90.00
_cell_angle_beta 90.00
_cell_angle_gamma 120.00
loop_
_atom_site_label
_atom_site_type_symbol
_atom_site_fract_x
_atom_site_fract_y
_atom_site_fract_z
Sr1 Sr 0.0000 0.0000 0.0000
Zn1 Zn 0.0000 0.5000 0.5000
Zn2 Zn 0.3333 0.6667 0.0000
```

Output
Formation energy from the elements (eV/f.u.): -1.29